The following is a DFT calculation (GGA-PBE) of crystalline Nd2SbTe5 at its relaxed geometry.

The uncorrected formation energy is -75.5 kJ/mol of atoms. The calculation puts the magnetization at 0.00 Bohr magnetons per cell. The final energy is -142.5 eV for the cell shown.

The space group is Cmcm (No. 63) and the conventional cell measures 6.184, 15.188 and 14.713 Å, with angles of 90.00, 90.00 and 90.00 degrees. The asymmetric unit holds Nd at (0.000, 0.165, 0.070), Sb at (0.000, 0.167, 0.750), Te at (0.000, 0.040, 0.600), Te at (0.000, 0.285, 0.250) and Te at (0.000, 0.303, 0.594).